No. 1
Computed, not measured: crystalline Cs3CrI6 at its relaxed geometry at the GGA-PBE level of DFT.

a = 12.723 Å, b = 12.723 Å, c = 12.723 Å
α = 90.00°, β = 90.00°, γ = 90.00°
Space group Fm-3m (No. 225)
Unique sites:
Cs (0.000, 0.000, 0.000) (multiplicity 4)
Cs (0.250, 0.250, 0.250) (multiplicity 8)
Cr (0.000, 0.000, 0.500) (multiplicity 4)
I (0.000, 0.000, 0.284) (multiplicity 24)



No. 2
Computed, not measured: crystalline CsCrI3 at its relaxed geometry at the GGA-PBE level of DFT.

a = 7.084 Å, b = 7.084 Å, c = 7.084 Å
α = 90.00°, β = 90.00°, γ = 90.00°
Space group Pm-3m (No. 221)
Unique sites:
Cs (0.000, 0.000, 0.000) (multiplicity 1)
Cr (0.500, 0.500, 0.500) (multiplicity 1)
I (0.000, 0.000, 0.500) (multiplicity 3)

Output
relative energy among the computed polymorphs	1189	meV per atom



No. 3
Computed, not measured: crystalline CsCr2I2 at its relaxed geometry at the GGA-PBE level of DFT.

a = 5.653 Å, b = 5.653 Å, c = 10.041 Å
α = 90.00°, β = 90.00°, γ = 90.00°
Space group I4/mmm (No. 139)
Unique sites:
Cs (0.000, 0.000, 0.000) (multiplicity 2)
Cr (0.000, 0.000, 0.414) (multiplicity 4)
I (0.000, 0.500, 0.250) (multiplicity 4)

Output
relative energy among the computed polymorphs	56	meV per atom



No. 4
Computed, not measured: crystalline Cs3Cr2InI9 at its relaxed geometry at the GGA-PBE level of DFT.

a = 8.3765 Å, b = 8.3765 Å, c = 10.4040 Å
α = 90.00°, β = 90.00°, γ = 120.00°
Space group P-3m1 (No. 164)
Unique sites:
Cs (0.0000, 0.0000, 0.0000) (multiplicity 1)
Cs (0.3333, 0.6667, 0.6692) (multiplicity 2)
Cr (0.3333, 0.6667, 0.1577) (multiplicity 2)
In (0.0000, 0.0000, 0.5000) (multiplicity 1)
I (0.0000, 0.5000, 0.0000) (multiplicity 3)
I (0.1768, 0.3535, 0.3118) (multiplicity 6)



No. 5
Computed, not measured: crystalline Cs3K3CrI8 at its relaxed geometry at the GGA-PBE level of DFT.

a = 10.2034 Å, b = 10.2034 Å, c = 26.5135 Å
α = 90.00°, β = 90.00°, γ = 120.00°
Space group R-3m (No. 166, hexagonal axes)
Unique sites:
Cs (0.0000, 0.5000, 0.0000) (multiplicity 9)
K (0.0000, 0.5000, 0.5000) (multiplicity 9)
Cr (0.0000, 0.0000, 0.5000) (multiplicity 3)
I (0.0000, 0.0000, 0.2413) (multiplicity 6)
I (0.0570, 0.5285, 0.2297) (multiplicity 18)



No. 6
Computed, not measured: crystalline CsKCr2I at its relaxed geometry at the GGA-PBE level of DFT.

a = 6.062 Å, b = 6.062 Å, c = 8.215 Å
α = 90.00°, β = 90.00°, γ = 90.00°
Space group P4/mmm (No. 123)
Unique sites:
Cs (0.000, 0.000, 0.000) (multiplicity 1)
K (0.000, 0.000, 0.500) (multiplicity 1)
Cr (0.000, 0.500, 0.500) (multiplicity 2)
I (0.500, 0.500, 0.000) (multiplicity 1)



No. 7
Computed, not measured: crystalline CsMgCrI6 at its relaxed geometry at the GGA-PBE level of DFT.

a = 7.3976 Å, b = 7.3976 Å, c = 8.7946 Å
α = 90.00°, β = 90.00°, γ = 120.00°
Space group P312 (No. 149)
Unique sites:
Cs (0.0000, 0.0000, 0.0000) (multiplicity 1)
Mg (0.6667, 0.3333, 0.5000) (multiplicity 1)
Cr (0.3333, 0.6667, 0.5000) (multiplicity 1)
I (0.0168, 0.3776, 0.6831) (multiplicity 6)



No. 8
Computed, not measured: crystalline CsMgCr2I8 at its relaxed geometry at the GGA-PBE level of DFT.

a = 7.4907 Å, b = 7.4907 Å, c = 31.3566 Å
α = 90.00°, β = 90.00°, γ = 120.00°
Space group R-3 (No. 148, hexagonal axes)
Unique sites:
Cs (0.0000, 0.0000, 0.0000) (multiplicity 3)
Mg (0.0000, 0.0000, 0.5000) (multiplicity 3)
Cr (0.0000, 0.0000, 0.2387) (multiplicity 6)
I (0.0000, 0.0000, 0.3212) (multiplicity 6)
I (0.0094, 0.3537, 0.2223) (multiplicity 18)



No. 9
Computed, not measured: crystalline CsMnCr2I8 at its relaxed geometry at the GGA-PBE level of DFT.

a = 7.4443 Å, b = 7.4443 Å, c = 31.3925 Å
α = 90.00°, β = 90.00°, γ = 120.00°
Space group R-3 (No. 148, hexagonal axes)
Unique sites:
Cs (0.0000, 0.0000, 0.0000) (multiplicity 3)
Mn (0.0000, 0.0000, 0.5000) (multiplicity 3)
Cr (0.0000, 0.0000, 0.2375) (multiplicity 6)
I (0.0000, 0.0000, 0.3202) (multiplicity 6)
I (0.0110, 0.6928, 0.5541) (multiplicity 18)



No. 10
Computed, not measured: crystalline Cs2MnCrI6 at its relaxed geometry at the GGA-PBE level of DFT.

a = 11.631 Å, b = 11.631 Å, c = 11.631 Å
α = 90.00°, β = 90.00°, γ = 90.00°
Space group Fm-3m (No. 225)
Unique sites:
Cs (0.250, 0.250, 0.250) (multiplicity 8)
Mn (0.000, 0.000, 0.000) (multiplicity 4)
Cr (0.000, 0.000, 0.500) (multiplicity 4)
I (0.000, 0.000, 0.250) (multiplicity 24)



No. 11
Computed, not measured: crystalline CsMn2CrI8 at its relaxed geometry at the GGA-PBE level of DFT.

a = 7.2096 Å, b = 7.2096 Å, c = 34.9864 Å
α = 90.00°, β = 90.00°, γ = 120.00°
Space group R32 (No. 155, hexagonal axes)
Unique sites:
Cs (0.0000, 0.0000, 0.0000) (multiplicity 3)
Mn (0.0000, 0.0000, 0.2392) (multiplicity 6)
Cr (0.0000, 0.0000, 0.5000) (multiplicity 3)
I (0.0000, 0.0000, 0.3144) (multiplicity 6)
I (0.0160, 0.3109, 0.5533) (multiplicity 18)



No. 12
Computed, not measured: crystalline CsCrIN2 at its relaxed geometry at the GGA-PBE level of DFT.

a = 4.393 Å, b = 4.393 Å, c = 7.092 Å
α = 90.00°, β = 90.00°, γ = 90.00°
Space group P4/mmm (No. 123)
Unique sites:
Cs (0.000, 0.000, 0.000) (multiplicity 1)
Cr (0.500, 0.500, 0.500) (multiplicity 1)
I (0.000, 0.000, 0.500) (multiplicity 1)
N (0.000, 0.500, 0.000) (multiplicity 2)

Output
relative energy among the computed polymorphs	1709	meV per atom



no.,formation energy (no corrections) (eV per atom),volume (A^3/atom)
1,-1.043,51.5
2,0.386,71.1
3,0.318,32.1
4,-0.831,42.1
5,-1.234,53.1
6,1.015,60.4
7,-0.853,46.3
8,-0.593,42.3
9,-0.450,41.9
10,-0.809,39.3
11,-0.494,43.7
12,2.754,27.4